(1)
The following is a PBE-GGA calculation of a relaxed Na2ScAg crystal, from the Alexandria database.

Results
- Mass density: 3.03 g/cm³
- Total energy: -2.55 eV/atom
- Energy relative to the elements: 1.604 eV/f.u.
- Offset from the most stable computed form: 0.006 eV/atom

```
Na2ScAg
1.0
-4.307 4.307 2.932
4.307 -4.307 2.932
4.307 4.307 -2.932
Na Sc Ag
4 2 2
Direct
0.080 0.625 0.955
0.375 0.330 0.455
0.670 0.125 0.045
0.875 0.920 0.545
0.250 0.750 0.500
0.500 0.500 0.000
0.000 0.000 0.000
0.750 0.250 0.500
```


(2)
The following is a PBE-GGA calculation of a relaxed La2DyY6Er3 crystal, from the Alexandria database.

Results
- Mass density: 6.28 g/cm³
- Total energy: -5.55 eV/atom
- Energy relative to the elements: 0.301 eV/f.u.

```
La2DyY6Er3
1.0
3.105 -5.377 0.000
3.105 5.377 0.000
-2.068 0.000 11.673
La Dy Y Er
2 1 6 3
Direct
0.167 0.833 0.000
0.833 0.167 0.000
0.500 0.500 0.000
0.083 0.415 0.745
0.253 0.253 0.255
0.415 0.083 0.745
0.585 0.917 0.255
0.747 0.747 0.745
0.917 0.585 0.255
0.000 0.000 0.500
0.334 0.666 0.500
0.666 0.334 0.500
```


(3)
The following is a PBE-GGA calculation of a relaxed Li3Zn crystal, from the Alexandria database.

Results
- Mass density: 2.18 g/cm³
- Total energy: -1.85 eV/atom
- Energy relative to the elements: -0.389 eV/f.u.

```
Li3Zn
1.0
-2.084 2.084 3.789
2.084 -2.084 3.789
2.084 2.084 -3.789
Li Zn
3 1
Direct
0.000 0.000 0.000
0.250 0.750 0.500
0.750 0.250 0.500
0.500 0.500 0.000
```


(4)
The following is a PBE-GGA calculation of a relaxed TlAsRh2 crystal, from the Alexandria database.

Results
- Mass density: 10.99 g/cm³
- Total energy: -5.49 eV/atom
- Energy relative to the elements: -0.228 eV/f.u.

```
TlAsRh2
1.0
3.252 0.000 0.000
0.000 4.758 0.000
-0.028 0.000 4.737
Tl As Rh
1 1 2
Direct
0.000 0.000 0.000
0.500 0.500 0.682
0.499 0.000 0.495
0.997 0.500 0.315
```


(5)
The following is a PBE-GGA calculation of a relaxed KAsBr6 crystal, from the Alexandria database.

Results
- Mass density: 3.33 g/cm³
- Total energy: -2.51 eV/atom
- Formation energy without anion corrections: -416 kJ/mol of formula units

```
KAsBr6
1.0
6.230 0.000 0.000
2.555 6.986 0.000
2.415 2.055 6.794
K As Br
1 1 6
Direct
0.000 0.000 0.000
0.500 0.500 0.500
0.114 0.678 0.714
0.267 0.396 0.361
0.485 0.829 0.216
0.515 0.171 0.784
0.733 0.604 0.639
0.886 0.322 0.286
```


(6)
The following is a PBE-GGA calculation of a relaxed Y4InHgO crystal, from the Alexandria database.

Results
- Mass density: 6.53 g/cm³
- Total energy: -5.94 eV/atom
- Formation energy without anion corrections: -749 kJ/mol of formula units

```
Y4InHgO
1.0
3.299 -8.017 0.000
3.299 8.017 0.000
0.000 0.000 6.604
Y In Hg O
8 2 2 2
Direct
0.000 0.500 0.000
0.000 0.500 0.500
0.072 0.928 0.750
0.419 0.581 0.750
0.500 0.000 0.000
0.500 0.000 0.500
0.581 0.419 0.250
0.928 0.072 0.250
0.387 0.613 0.250
0.613 0.387 0.750
0.117 0.883 0.250
0.883 0.117 0.750
0.254 0.746 0.750
0.746 0.254 0.250
```


(7)
The following is a PBE-GGA calculation of a relaxed Tb6Sm12Er crystal, from the Alexandria database.

Results
- Mass density: 7.58 g/cm³
- Total energy: -4.54 eV/atom
- Energy relative to the elements: 2.683 eV/f.u.
- Offset from the most stable computed form: 0.000 eV/atom

```
Tb6Sm12Er
1.0
6.039 3.487 5.071
-6.039 3.487 5.071
0.000 -6.974 5.071
Tb Sm Er
6 12 1
Direct
0.200 0.760 0.597
0.240 0.403 0.800
0.403 0.800 0.240
0.597 0.200 0.760
0.760 0.597 0.200
0.800 0.240 0.403
0.038 0.934 0.279
0.066 0.721 0.962
0.140 0.484 0.304
0.279 0.038 0.934
0.304 0.140 0.484
0.484 0.304 0.140
0.516 0.696 0.860
0.696 0.860 0.516
0.721 0.962 0.066
0.860 0.516 0.696
0.934 0.279 0.038
0.962 0.066 0.721
0.500 0.500 0.500
```


(8)
The following is a PBE-GGA calculation of a relaxed YSeBr crystal, from the Alexandria database.

Results
- Mass density: 4.11 g/cm³
- Total energy: -5.77 eV/atom
- Formation energy without anion corrections: -548 kJ/mol of formula units

```
YSeBr
1.0
8.379 0.000 0.000
0.000 8.379 0.000
0.000 0.000 5.708
Y Se Br
4 4 4
Direct
0.000 0.253 0.000
0.000 0.747 0.000
0.253 0.000 0.500
0.747 0.000 0.500
0.000 0.234 0.500
0.000 0.766 0.500
0.234 0.000 0.000
0.766 0.000 0.000
0.230 0.500 0.000
0.500 0.230 0.500
0.500 0.770 0.500
0.770 0.500 0.000
```


(9)
The following is a PBE-GGA calculation of a relaxed BaCd3F crystal, from the Alexandria database.

Results
- Mass density: 2.41 g/cm³
- Total energy: -1.19 eV/atom
- Formation energy without anion corrections: 59 kJ/mol of formula units
- Offset from the most stable computed form: 0.742 eV/atom

```
BaCd3F
1.0
6.982 0.000 0.000
0.000 6.982 0.000
0.000 0.000 6.982
Ba Cd F
1 3 1
Direct
0.000 0.000 0.000
0.000 0.000 0.500
0.000 0.500 0.000
0.500 0.000 0.000
0.500 0.500 0.500
```


(10)
The following is a PBE-GGA calculation of a relaxed DyH2F6 crystal, from the Alexandria database.

Results
- Mass density: 4.72 g/cm³
- Total energy: -4.99 eV/atom
- Offset from the most stable computed form: 0.000 eV/atom

```
DyH2F6
1.0
4.328 -4.214 0.000
4.328 4.214 0.000
-1.178 0.000 5.370
Dy H F
2 4 12
Direct
0.170 0.830 0.750
0.830 0.170 0.250
0.178 0.367 0.939
0.367 0.178 0.439
0.633 0.822 0.561
0.822 0.633 0.061
0.081 0.179 0.969
0.117 0.547 0.414
0.179 0.081 0.469
0.256 0.512 0.923
0.453 0.883 0.086
0.488 0.744 0.577
0.512 0.256 0.423
0.547 0.117 0.914
0.744 0.488 0.077
0.821 0.919 0.531
0.883 0.453 0.586
0.919 0.821 0.031
```


(11)
The following is a PBE-GGA calculation of a relaxed TaMo2W8 crystal, from the Alexandria database.

Results
- Mass density: 16.18 g/cm³
- Total energy: -11.91 eV/atom
- Energy relative to the elements: 6.076 eV/f.u.

```
TaMo2W8
1.0
3.525 -2.954 0.000
3.525 2.954 0.000
-0.166 0.000 9.084
Ta Mo W
1 2 8
Direct
0.000 0.000 0.000
0.264 0.264 0.501
0.736 0.736 0.499
0.231 0.761 0.330
0.239 0.769 0.670
0.289 0.289 0.166
0.334 0.334 0.865
0.666 0.666 0.135
0.711 0.711 0.834
0.761 0.231 0.330
0.769 0.239 0.670
```


(12)
The following is a PBE-GGA calculation of a relaxed La2YH4 crystal, from the Alexandria database.

Results
- Mass density: 5.38 g/cm³
- Total energy: -4.57 eV/atom

```
La2YH4
1.0
-2.039 2.039 6.884
2.039 -2.039 6.884
2.039 2.039 -6.884
La Y H
2 1 4
Direct
0.164 0.164 0.000
0.836 0.836 0.000
0.500 0.500 0.000
0.000 0.500 0.500
0.338 0.338 0.000
0.500 0.000 0.500
0.662 0.662 0.000
```


- Number 7 is which compound?
  Tb6Sm12Er


- What is the total energy in the tenth record?
  -4.99 eV/atom